Compound: GaFe2Si2
Source: Alexandria via LeMat-Bulk
Functional: GGA-PBE
Structure: relaxed

Computed properties:
uncorrected formation energy	-0.180	eV per atom
VASP energy	-31.696	eV for the cell shown
energy above the lowest structure with this stoichiometry	17	meV per atom
space-group type	I4/mmm, No. 139

```
GaFe2Si2
1.0
-1.695 1.695 5.602
1.695 -1.695 5.602
1.695 1.695 -5.602
Ga Fe Si
1 2 2
Cartesian
0.000 0.000 0.000 Ga
0.000 0.000 4.366 Fe
0.000 0.000 6.838 Fe
1.695 0.000 2.801 Si
0.000 1.695 2.801 Si
```